Ca2AcAl6 | GGA-PBE | relaxed

Cell: 3.913 8.064 8.964 Å, 116.73 115.88 90.00°
Positions (direct):
Al1 0.837 0.337 0.337
Al2 0.837 0.000 0.337
Al3 0.500 0.337 0.000
Al4 0.163 0.000 0.663
Al5 0.500 0.663 0.000
Al6 0.163 0.663 0.663
Ac1 0.000 0.000 0.000
Ca1 0.333 0.667 0.333
Ca2 0.667 0.333 0.667

Calculated values
Total energy = -0.2689 Ry/atom
Formation energy = -0.263 eV/atom
DOS(E_F) = 5.048 states/eV/cell